Computed, not measured: a crystal of SrZrAs2 relaxed with PBEsol at the SCAN level of DFT.

Geometry as POSCAR:
```
SrZrAs2
1.0
-2.049 2.049 5.280
2.049 -2.049 5.280
2.049 2.049 -5.280
Sr Zr As
1 1 2
Direct
0.000 0.000 0.000 Sr
0.750 0.250 0.500 Zr
0.250 0.750 0.500 As
0.500 0.500 0.000 As
```

Values from the calculation:
Its polymorph energy (0 for the lowest one) is 724.2 meV/atom. The calculation puts the formation enthalpy at 0 K at -0.5901 eV/atom.

---

Computed, not measured: a crystal of AlGaAgGe2 relaxed with PBEsol at the SCAN level of DFT.

Geometry as POSCAR:
```
AlGaAgGe2
1.0
4.958 0.000 0.000
0.000 4.958 0.000
0.000 0.000 4.776
Al Ga Ag Ge
1 1 1 2
Direct
0.000 0.000 0.000 Al
0.500 0.500 0.000 Ga
0.500 0.500 0.500 Ag
0.000 0.500 0.500 Ge
0.500 0.000 0.500 Ge
```

Values from the calculation:
The calculation puts the formation enthalpy at 0 K at 0.7686 eV/atom.

---

Computed, not measured: a crystal of Cd2Sn2Pb relaxed with PBEsol at the SCAN level of DFT.

Geometry as POSCAR:
```
Cd2Sn2Pb
1.0
-2.111 2.111 7.428
2.111 -2.111 7.428
2.111 2.111 -7.428
Cd Sn Pb
2 2 1
Direct
0.250 0.750 0.500 Cd
0.750 0.250 0.500 Cd
0.104 0.104 0.000 Sn
0.896 0.896 0.000 Sn
0.500 0.500 0.000 Pb
```

Values from the calculation:
Its polymorph energy (0 for the lowest one) is 20.5 meV/atom. The calculation puts the formation enthalpy at 0 K at 0.1366 eV/atom.

---

Computed, not measured: a crystal of LiTaP2 relaxed with PBEsol at the SCAN level of DFT.

Geometry as POSCAR:
```
LiTaP2
1.0
4.470 -1.677 0.000
4.470 1.677 0.000
-0.495 0.000 3.869
Li Ta P
1 1 2
Direct
0.000 0.000 0.000 Li
0.256 0.256 0.506 Ta
0.542 0.542 0.537 P
0.732 0.732 0.011 P
```

Values from the calculation:
Its polymorph energy (0 for the lowest one) is 189.2 meV/atom. The calculation puts the formation enthalpy at 0 K at -0.4127 eV/atom.